[1]
Density functional theory data (PBE) for Sr2CoBiIr after structural relaxation.

* calculated formation energy: 0.85 eV per atom
* crystal system: tetragonal

abc: 6.3247 6.3247 4.9641
angles: 90.00 90.00 90.00
With the nearest neighbours (Å) after each atom.
Space group P4/mmm (No. 123)
Unique sites:
Sr: 0.0000 0.5000 0.0000 (multiplicity 2)  2 Bi 3.16
Co: 0.0000 0.0000 0.5000 (multiplicity 1)  8 Sr 4.02, 4 Ir 4.47
Bi: 0.5000 0.5000 0.0000 (multiplicity 1)  2 Ir 2.48
Ir: 0.5000 0.5000 0.5000 (multiplicity 1)  2 Bi 2.48

[2]
Density functional theory data (PBE) for Pm3CN after structural relaxation.

* excess energy over the best structure of this formula in the dataset: 0.89 eV/f.u.
* crystal system: monoclinic
* E_form (uncorrected): -0.4596 eV per atom

abc: 6.4243 11.5271 6.6217
angles: 90.00 110.82 90.00
With the nearest neighbours (Å) after each atom.
Space group C2/m (No. 12)
Unique sites:
Pm: 0.2431 0.0000 0.2754 (multiplicity 4)  2 N 2.31-2.52
Pm: 0.2460 0.3283 0.2256 (multiplicity 8)  1 N 2.31, 2 C 2.58
C: 0.0000 0.1630 0.0000 (multiplicity 4)  6 Pm 2.58-2.70
N: 0.1163 0.5000 0.3184 (multiplicity 4)  4 Pm 2.31-2.52

[3]
Density functional theory data (PBE) for BaAc4ErO8 after structural relaxation.

* crystal system: trigonal
* E_form (uncorrected): -3.0185 eV per atom

abc: 7.4913 7.4913 17.9944
angles: 90.00 90.00 120.00
With the nearest neighbours (Å) after each atom.
Space group R3m (No. 160, hexagonal axes)
Unique sites:
Ba: 0.0000 0.0000 0.0000 (multiplicity 3)  6 O 2.68-2.80
Ac: 0.0000 0.0000 0.3847 (multiplicity 3)  4 O 2.41-2.51
Ac: 0.0063 0.5031 0.5048 (multiplicity 9)  6 O 2.53-2.68
Er: 0.0000 0.0000 0.6238 (multiplicity 3)  4 O 2.16-2.22
O: 0.0000 0.0000 0.2453 (multiplicity 3)  4 Ac 2.51-2.57
O: 0.0000 0.0000 0.7472 (multiplicity 3)  1 Er 2.22
O: 0.0168 0.5084 0.7626 (multiplicity 9)  3 Ac 2.41-2.53, 1 Ba 2.68
O: 0.0244 0.5122 0.2460 (multiplicity 9)  1 Er 2.16

N(E_F) list, top to bottom, in states/eV per cell: 4.50, 11.01, 6.88
Total magnetic moment list, top to bottom, in μB per cell: 2.20, 0.00, 2.86